1.
Compound: BeNbCl2
Source: Alexandria via LeMat-Bulk
Functional: PBE-GGA
Structure: optimized geometry

Unit cell a=4.4208 b=4.4208 c=4.4208 alpha=60.00 beta=60.00 gamma=60.00
Last column: nearest neighbours and their distance in Å.
Fractional positions:
1 Cl 0.2500 0.2500 0.2500  4 Nb 2.71, 4 Be 2.71
2 Nb 0.5000 0.5000 0.5000  8 Cl 2.71
3 Be 0.0000 0.0000 0.0000  8 Cl 2.71
4 Cl 0.7500 0.7500 0.7500  4 Nb 2.71, 4 Be 2.71

Output
offset from the most stable computed form: 556 meV/atom


2.
Compound: BeNb3Cl
Source: Alexandria via LeMat-Bulk
Functional: PBE-GGA
Structure: optimized geometry

Unit cell a=4.5246 b=4.5246 c=4.5246 alpha=90.00 beta=90.00 gamma=90.00
Last column: nearest neighbours and their distance in Å.
Fractional positions:
1 Nb 0.0000 0.0000 0.5000  2 Cl 2.26
2 Cl 0.0000 0.0000 0.0000  6 Nb 2.26
3 Nb 0.0000 0.5000 0.0000  2 Cl 2.26
4 Nb 0.5000 0.0000 0.0000  2 Cl 2.26
5 Be 0.5000 0.5000 0.5000  12 Nb 3.20

Output
offset from the most stable computed form: 0 meV/atom


3.
Compound: BeNbCl2
Source: Alexandria via LeMat-Bulk
Functional: PBE-GGA
Structure: optimized geometry

Unit cell a=7.9854 b=7.9854 c=7.9854 alpha=22.29 beta=22.29 gamma=22.29
Last column: nearest neighbours and their distance in Å.
Fractional positions:
1 Be 0.5000 0.5000 0.5000  6 Cl 2.21
2 Cl 0.1111 0.1111 0.1111  3 Be 2.21
3 Cl 0.8889 0.8889 0.8889  3 Be 2.21
4 Nb 0.0000 0.0000 0.0000  2 Cl 2.59

Output
offset from the most stable computed form: 0 meV/atom


4.
Compound: BeNbCl3
Source: Alexandria via LeMat-Bulk
Functional: PBE-GGA
Structure: optimized geometry

Unit cell a=4.5309 b=4.5309 c=4.5309 alpha=90.00 beta=90.00 gamma=90.00
Last column: nearest neighbours and their distance in Å.
Fractional positions:
1 Cl 0.5000 0.0000 0.0000  2 Be 2.27
2 Cl 0.0000 0.0000 0.5000  2 Be 2.27
3 Nb 0.5000 0.5000 0.5000  12 Cl 3.20
4 Be 0.0000 0.0000 0.0000  6 Cl 2.27
5 Cl 0.0000 0.5000 0.0000  2 Be 2.27

Output
offset from the most stable computed form: 54 meV/atom


5.
Compound: BeNbCl3
Source: Alexandria via LeMat-Bulk
Functional: PBE-GGA
Structure: optimized geometry

Unit cell a=4.9488 b=4.9488 c=4.9488 alpha=90.00 beta=90.00 gamma=90.00
Last column: nearest neighbours and their distance in Å.
Fractional positions:
1 Nb 0.0000 0.0000 0.0000  6 Cl 2.47
2 Cl 0.0000 0.5000 0.0000  2 Nb 2.47
3 Cl 0.5000 0.0000 0.0000  2 Nb 2.47
4 Cl 0.0000 0.0000 0.5000  2 Nb 2.47
5 Be 0.5000 0.5000 0.5000  12 Cl 3.50

Output
offset from the most stable computed form: 0 meV/atom


6.
Compound: Be3NbCl
Source: Alexandria via LeMat-Bulk
Functional: PBE-GGA
Structure: optimized geometry

Unit cell a=4.1028 b=4.1028 c=4.1028 alpha=90.00 beta=90.00 gamma=90.00
Last column: nearest neighbours and their distance in Å.
Fractional positions:
1 Be 0.0000 0.5000 0.0000  2 Cl 2.05
2 Cl 0.0000 0.0000 0.0000  6 Be 2.05
3 Nb 0.5000 0.5000 0.5000  12 Be 2.90
4 Be 0.0000 0.0000 0.5000  2 Cl 2.05
5 Be 0.5000 0.0000 0.0000  2 Cl 2.05

Output
offset from the most stable computed form: 0 meV/atom


7.
Compound: BeNbCl2
Source: Alexandria via LeMat-Bulk
Functional: PBE-GGA
Structure: optimized geometry

Unit cell a=5.3988 b=5.3988 c=6.1454 alpha=63.94 beta=63.94 gamma=90.00
Last column: nearest neighbours and their distance in Å.
Fractional positions:
1 Nb 0.0000 0.0000 0.0000  4 Cl 2.52
2 Cl 0.8750 0.7996 0.7500  2 Be 2.04
3 Be 0.2500 0.7500 0.5000  4 Cl 2.04
4 Nb 0.7500 0.2500 0.5000  4 Cl 2.52
5 Cl 0.5496 0.1250 0.2500  2 Be 2.04
6 Cl 0.2004 0.6250 0.2500  2 Be 2.04
7 Be 0.5000 0.5000 0.0000  4 Cl 2.04
8 Cl 0.3750 0.4504 0.7500  2 Be 2.04

Output
offset from the most stable computed form: 494 meV/atom


8.
Compound: BeNb2ClO
Source: Alexandria via LeMat-Bulk
Functional: PBE-GGA
Structure: optimized geometry

Unit cell a=4.5814 b=3.6212 c=4.5814 alpha=90.00 beta=90.00 gamma=90.00
Last column: nearest neighbours and their distance in Å.
Fractional positions:
1 Nb 0.0000 0.0000 0.5000  2 Cl 2.29
2 Cl 0.0000 0.0000 0.0000  2 Be 1.81
3 O 0.5000 0.5000 0.5000  8 Nb 2.92, 4 Be 3.24
4 Be 0.0000 0.5000 0.0000  2 Cl 1.81
5 Nb 0.5000 0.0000 0.0000  2 Cl 2.29

Output
calculated total energy: -25.6 eV per cell